1.
DFT (PBE-GGA) results for a geometry-optimized HfZrAsP structure.

Computed properties:
Formation energy from the elements = -1239.9 meV/atom
DOS at the Fermi energy = 1.51 states/eV per cell

CIF file:
```
data_HfZrAsP
_symmetry_space_group_name_H-M 'R 3 m'
_symmetry_Int_Tables_number 160
_symmetry_space_group_name_Hall 'R 3 -2"'
_cell_length_a 3.7131
_cell_length_b 3.7131
_cell_length_c 19.3729
_cell_angle_alpha 90.00
_cell_angle_beta 90.00
_cell_angle_gamma 120.00
loop_
_atom_site_label
_atom_site_type_symbol
_atom_site_fract_x
_atom_site_fract_y
_atom_site_fract_z
Hf1 Hf 0.0000 0.0000 0.0000
Zr1 Zr 0.0000 0.0000 0.1837
As1 As 0.0000 0.0000 0.4232
P1 P 0.0000 0.0000 0.5938
```

***

2.
DFT (PBE-GGA) results for a geometry-optimized Hf3Pa5As8 structure.

Computed properties:
Formation energy from the elements = -1016.6 meV/atom
DOS at the Fermi energy = 53.99 states/eV per cell

CIF file:
```
data_Hf3Pa5As8
_symmetry_space_group_name_H-M 'R -3 m'
_symmetry_Int_Tables_number 166
_symmetry_space_group_name_Hall '-R 3 2"'
_cell_length_a 8.0193
_cell_length_b 8.0193
_cell_length_c 19.4498
_cell_angle_alpha 90.00
_cell_angle_beta 90.00
_cell_angle_gamma 120.00
loop_
_atom_site_label
_atom_site_type_symbol
_atom_site_fract_x
_atom_site_fract_y
_atom_site_fract_z
Hf1 Hf 0.0000 0.5000 0.0000
Pa1 Pa 0.0000 0.0000 0.0000
Pa2 Pa 0.0000 0.0000 0.5000
Pa3 Pa 0.0000 0.5000 0.5000
As1 As 0.0000 0.0000 0.2559
As2 As 0.0094 0.5047 0.2546
```

***

3.
DFT (PBE-GGA) results for a geometry-optimized HfPa3As4 structure.

Computed properties:
Formation energy from the elements = -1026.0 meV/atom
DOS at the Fermi energy = 18.42 states/eV per cell

CIF file:
```
data_HfPa3As4
_symmetry_space_group_name_H-M 'P 1 2/c 1'
_symmetry_Int_Tables_number 13
_cell_length_a 6.960
_cell_length_b 8.107
_cell_length_c 6.978
_cell_angle_alpha 90.00
_cell_angle_beta 109.79
_cell_angle_gamma 90.00
loop_
_symmetry_equiv_pos_as_xyz
'x,y,z'
'-x,-y,-z'
'-x,y,-z+1/2'
'x,-y,z+1/2'
loop_
_atom_site_label
_atom_site_type_symbol
_atom_site_fract_x
_atom_site_fract_y
_atom_site_fract_z
Hf1 Hf 0.000 0.126 0.250
Pa1 Pa 0.000 0.374 0.750
Pa2 Pa 0.500 0.126 0.750
Pa3 Pa 0.500 0.375 0.250
As1 As 0.237 0.117 0.000
As2 As 0.243 0.368 0.493
```

***

- Number 3 is which compound?
  HfPa3As4